Entry 1:
# Ca2TlF | Alexandria | PBE-GGA | optimized geometry
# **Calculated total energy**: -57.33 eV/cell
# **Energy relative to the lowest polymorph listed for this composition**: 0.0 meV/atom
# **E_form (uncorrected)**: -6.09 eV/f.u.
data_Ca2TlF
_chemical_formula_sum 'Ca8 Tl4 F4'
_cell_length_a 7.228
_cell_length_b 7.228
_cell_length_c 8.116
_cell_angle_alpha 90.00
_cell_angle_beta 90.00
_cell_angle_gamma 90.00
_space_group_name_H-M_alt 'I -4 2 d'
_space_group_IT_number 122
_space_group_name_Hall 'I -4 2bw'
loop_
_atom_site_label
_atom_site_type_symbol
_atom_site_fract_x
_atom_site_fract_y
_atom_site_fract_z
Ca1 Ca 0.152 0.250 0.125
Tl1 Tl 0.000 0.000 0.500
F1 F 0.000 0.000 0.000

Entry 2:
# CaTl2F11 | Alexandria | PBE-GGA | optimized geometry
# **Calculated total energy**: -205.61 eV/cell
# **E_form (uncorrected)**: -24.08 eV/f.u.
data_CaTl2F11
_chemical_formula_sum 'Ca4 Tl8 F44'
_cell_length_a 8.549
_cell_length_b 9.895
_cell_length_c 11.572
_cell_angle_alpha 90.00
_cell_angle_beta 90.00
_cell_angle_gamma 90.00
_space_group_name_H-M_alt 'I b a m'
_space_group_IT_number 72
_space_group_name_Hall '-I 2 2c'
loop_
_atom_site_label
_atom_site_type_symbol
_atom_site_fract_x
_atom_site_fract_y
_atom_site_fract_z
Ca1 Ca 0.000 0.000 0.250
Tl1 Tl 0.176 0.310 0.000
F1 F 0.000 0.500 0.000
F2 F 0.089 0.298 0.500
F3 F 0.125 0.169 0.141
F4 F 0.211 0.065 0.370

Entry 3:
# CaTl2F4 | Alexandria | PBE-GGA | optimized geometry
# **Calculated total energy**: -65.68 eV/cell
# **E_form (uncorrected)**: -18.62 eV/f.u.
data_CaTl2F4
_chemical_formula_sum 'Ca2 Tl4 F8'
_cell_length_a 4.491
_cell_length_b 4.491
_cell_length_c 14.020
_cell_angle_alpha 90.00
_cell_angle_beta 90.00
_cell_angle_gamma 90.00
_space_group_name_H-M_alt 'I 4/m m m'
_space_group_IT_number 139
_space_group_name_Hall '-I 4 2'
loop_
_atom_site_label
_atom_site_type_symbol
_atom_site_fract_x
_atom_site_fract_y
_atom_site_fract_z
Ca1 Ca 0.000 0.000 0.000
Tl1 Tl 0.000 0.000 0.348
F1 F 0.000 0.000 0.163
F2 F 0.000 0.500 0.000

Entry 4:
# Ca2TlF2 | Alexandria | PBE-GGA | optimized geometry
# **Calculated total energy**: -38.92 eV/cell
# **Energy relative to the lowest polymorph listed for this composition**: 583.9 meV/atom
# **E_form (uncorrected)**: -9.35 eV/f.u.
data_Ca2TlF2
_chemical_formula_sum 'Ca4 Tl2 F4'
_cell_length_a 8.376
_cell_length_b 8.376
_cell_length_c 3.186
_cell_angle_alpha 90.00
_cell_angle_beta 90.00
_cell_angle_gamma 90.00
_space_group_name_H-M_alt 'P 4/m b m'
_space_group_IT_number 127
_space_group_name_Hall '-P 4 2ab'
loop_
_atom_site_label
_atom_site_type_symbol
_atom_site_fract_x
_atom_site_fract_y
_atom_site_fract_z
Ca1 Ca 0.129 0.371 0.000
Tl1 Tl 0.000 0.000 0.000
F1 F 0.097 0.597 0.500

Entry 5:
# CaTlF4 | Alexandria | PBE-GGA | optimized geometry
# **Calculated total energy**: -28.69 eV/cell
# **E_form (uncorrected)**: -16.84 eV/f.u.
data_CaTlF4
_chemical_formula_sum 'Ca1 Tl1 F4'
_cell_length_a 4.026
_cell_length_b 4.026
_cell_length_c 5.677
_cell_angle_alpha 90.00
_cell_angle_beta 90.00
_cell_angle_gamma 90.00
_space_group_name_H-M_alt 'P 4/m m m'
_space_group_IT_number 123
_space_group_name_Hall '-P 4 2'
loop_
_atom_site_label
_atom_site_type_symbol
_atom_site_fract_x
_atom_site_fract_y
_atom_site_fract_z
Ca1 Ca 0.000 0.000 0.000
Tl1 Tl 0.500 0.500 0.500
F1 F 0.000 0.500 0.237

Entry 6:
# CaTl3F | Alexandria | PBE-GGA | optimized geometry
# **Calculated total energy**: -14.41 eV/cell
# **Energy relative to the lowest polymorph listed for this composition**: 0.0 meV/atom
# **E_form (uncorrected)**: -3.44 eV/f.u.
data_CaTl3F
_chemical_formula_sum 'Ca1 Tl3 F1'
_cell_length_a 5.240
_cell_length_b 5.240
_cell_length_c 5.240
_cell_angle_alpha 90.00
_cell_angle_beta 90.00
_cell_angle_gamma 90.00
_space_group_name_H-M_alt 'P m -3 m'
_space_group_IT_number 221
_space_group_name_Hall '-P 4 2 3'
loop_
_atom_site_label
_atom_site_type_symbol
_atom_site_fract_x
_atom_site_fract_y
_atom_site_fract_z
Ca1 Ca 0.000 0.000 0.000
Tl1 Tl 0.000 0.500 0.500
F1 F 0.500 0.500 0.500

Entry 7:
# CaTmTlF6 | Alexandria | PBE-GGA | optimized geometry
# **Calculated total energy**: -207.26 eV/cell
# **E_form (uncorrected)**: -31.75 eV/f.u.
data_CaTmTlF6
_chemical_formula_sum 'Ca4 Tm4 Tl4 F24'
_cell_length_a 8.082
_cell_length_b 8.221
_cell_length_c 11.908
_cell_angle_alpha 90.00
_cell_angle_beta 90.00
_cell_angle_gamma 90.00
_space_group_name_H-M_alt 'I m m a'
_space_group_IT_number 74
_space_group_name_Hall '-I 2b 2'
loop_
_atom_site_label
_atom_site_type_symbol
_atom_site_fract_x
_atom_site_fract_y
_atom_site_fract_z
Ca1 Ca 0.250 0.250 0.250
Tm1 Tm 0.000 0.000 0.000
Tl1 Tl 0.000 0.250 0.535
F1 F 0.000 0.250 0.332
F2 F 0.000 0.250 0.942
F3 F 0.193 0.063 0.115

Entry 8:
# Ca3TmTl2F12 | Alexandria | PBE-GGA | optimized geometry
# **Calculated total energy**: -286.09 eV/cell
# **E_form (uncorrected)**: -57.70 eV/f.u.
data_Ca3TmTl2F12
_chemical_formula_sum 'Ca9 Tm3 Tl6 F36'
_cell_length_a 7.8468
_cell_length_b 7.8468
_cell_length_c 20.6384
_cell_angle_alpha 90.00
_cell_angle_beta 90.00
_cell_angle_gamma 120.00
_space_group_name_H-M_alt 'R -3 m'
_space_group_IT_number 166
_space_group_name_Hall '-R 3 2"'
loop_
_atom_site_label
_atom_site_type_symbol
_atom_site_fract_x
_atom_site_fract_y
_atom_site_fract_z
Ca1 Ca 0.0000 0.5000 0.0000
Tm1 Tm 0.0000 0.0000 0.5000
Tl1 Tl 0.0000 0.0000 0.0791
F1 F 0.0180 0.5090 0.3668
F2 F 0.0857 0.5429 0.1030

Q: What is the calculated total energy in the fourth record?
A: -38.92 eV/cell

Q: Which of these has the lowest calculated total energy?
A: Ca3TmTl2F12